No. 1
# Ta2ReCl, optimized geometry, DFT PBE
data_Ta2ReCl
_chemical_formula_sum 'Ta2 Re1 Cl1'
_space_group_name_H-M_alt 'P 1'
_space_group_IT_number 1
_space_group_name_Hall 'P 1'
_cell_length_a 4.170
_cell_length_b 4.170
_cell_length_c 8.105
_cell_angle_alpha 63.87
_cell_angle_beta 63.87
_cell_angle_gamma 43.13
loop_
_atom_site_label
_atom_site_type_symbol
_atom_site_fract_x
_atom_site_fract_y
_atom_site_fract_z
Cl1 Cl 0.750 0.750 0.750
Re1 Re 0.250 0.250 0.250
Ta1 Ta 0.061 0.061 0.063
Ta2 Ta 0.439 0.439 0.437
# - E above lowest polymorph: 0.2737 eV/atom
# - Calculated volume: 21.22 A^3/atom
# - Energy: -9.330 eV/atom

No. 2
# Ta2ReCl, optimized geometry, DFT PBE
data_Ta2ReCl
_chemical_formula_sum 'Ta2 Re1 Cl1'
_space_group_name_H-M_alt 'P 1'
_space_group_IT_number 1
_space_group_name_Hall 'P 1'
_cell_length_a 4.592
_cell_length_b 4.592
_cell_length_c 4.592
_cell_angle_alpha 60.00
_cell_angle_beta 60.00
_cell_angle_gamma 60.00
loop_
_atom_site_label
_atom_site_type_symbol
_atom_site_fract_x
_atom_site_fract_y
_atom_site_fract_z
Cl1 Cl 0.500 0.500 0.500
Re1 Re 0.250 0.250 0.250
Ta1 Ta 0.000 0.000 0.000
Ta2 Ta 0.750 0.750 0.750
# - E above lowest polymorph: 1.0588 eV/atom
# - Calculated volume: 17.12 A^3/atom
# - Energy: -8.545 eV/atom

No. 3
# TaRe2Cl, optimized geometry, DFT PBE
data_TaRe2Cl
_chemical_formula_sum 'Ta1 Re2 Cl1'
_space_group_name_H-M_alt 'P 1'
_space_group_IT_number 1
_space_group_name_Hall 'P 1'
_cell_length_a 4.101
_cell_length_b 2.868
_cell_length_c 5.632
_cell_angle_alpha 77.26
_cell_angle_beta 90.00
_cell_angle_gamma 90.00
loop_
_atom_site_label
_atom_site_type_symbol
_atom_site_fract_x
_atom_site_fract_y
_atom_site_fract_z
Cl1 Cl 0.500 0.654 0.782
Re1 Re 0.000 0.852 0.010
Re2 Re 0.500 0.285 0.211
Ta1 Ta 0.000 0.709 0.497
# - E above lowest polymorph: 0.3382 eV/atom
# - Calculated volume: 16.15 A^3/atom
# - Energy: -9.198 eV/atom

No. 4
# Ta2ReCl, optimized geometry, DFT PBE
data_Ta2ReCl
_chemical_formula_sum 'Ta2 Re1 Cl1'
_space_group_name_H-M_alt 'P 1'
_space_group_IT_number 1
_space_group_name_Hall 'P 1'
_cell_length_a 3.096
_cell_length_b 3.134
_cell_length_c 7.586
_cell_angle_alpha 90.02
_cell_angle_beta 90.00
_cell_angle_gamma 90.00
loop_
_atom_site_label
_atom_site_type_symbol
_atom_site_fract_x
_atom_site_fract_y
_atom_site_fract_z
Cl1 Cl 0.500 0.250 0.250
Re1 Re 0.500 0.750 0.750
Ta1 Ta 0.000 0.250 0.961
Ta2 Ta 0.000 0.250 0.539
# - E above lowest polymorph: 0.0000 eV/atom
# - Calculated volume: 18.40 A^3/atom
# - Energy: -9.603 eV/atom

No. 5
# Ta2ReCl, optimized geometry, DFT PBE
data_Ta2ReCl
_chemical_formula_sum 'Ta2 Re1 Cl1'
_space_group_name_H-M_alt 'P 1'
_space_group_IT_number 1
_space_group_name_Hall 'P 1'
_cell_length_a 5.495
_cell_length_b 5.495
_cell_length_c 5.495
_cell_angle_alpha 139.97
_cell_angle_beta 139.97
_cell_angle_gamma 57.89
loop_
_atom_site_label
_atom_site_type_symbol
_atom_site_fract_x
_atom_site_fract_y
_atom_site_fract_z
Cl1 Cl 0.500 0.500 0.000
Re1 Re 0.750 0.250 0.500
Ta1 Ta 0.000 0.000 0.000
Ta2 Ta 0.250 0.750 0.500
# - E above lowest polymorph: 0.8717 eV/atom
# - Calculated volume: 17.00 A^3/atom
# - Energy: -8.732 eV/atom

No. 6
# TaRe2Cl, optimized geometry, DFT PBE
data_TaRe2Cl
_chemical_formula_sum 'Ta1 Re2 Cl1'
_space_group_name_H-M_alt 'P 1'
_space_group_IT_number 1
_space_group_name_Hall 'P 1'
_cell_length_a 8.655
_cell_length_b 8.655
_cell_length_c 8.655
_cell_angle_alpha 20.03
_cell_angle_beta 20.03
_cell_angle_gamma 20.03
loop_
_atom_site_label
_atom_site_type_symbol
_atom_site_fract_x
_atom_site_fract_y
_atom_site_fract_z
Cl1 Cl 0.750 0.750 0.750
Re1 Re 0.998 0.998 0.998
Re2 Re 0.502 0.502 0.502
Ta1 Ta 0.250 0.250 0.250
# - E above lowest polymorph: 0.3406 eV/atom
# - Calculated volume: 16.63 A^3/atom
# - Energy: -9.195 eV/atom

No. 7
# TaReCl3, optimized geometry, DFT PBE
data_TaReCl3
_chemical_formula_sum 'Ta1 Re1 Cl3'
_space_group_name_H-M_alt 'P 1'
_space_group_IT_number 1
_space_group_name_Hall 'P 1'
_cell_length_a 4.928
_cell_length_b 4.928
_cell_length_c 4.928
_cell_angle_alpha 90.00
_cell_angle_beta 90.00
_cell_angle_gamma 90.00
loop_
_atom_site_label
_atom_site_type_symbol
_atom_site_fract_x
_atom_site_fract_y
_atom_site_fract_z
Re1 Re 0.500 0.500 0.500
Cl1 Cl 0.000 0.500 0.000
Cl2 Cl 0.000 0.000 0.500
Cl3 Cl 0.500 0.000 0.000
Ta1 Ta 0.000 0.000 0.000
# - Calculated volume: 23.94 A^3/atom
# - Energy: -5.071 eV/atom

No. 8
# Ta2ReCl, optimized geometry, DFT PBE
data_Ta2ReCl
_chemical_formula_sum 'Ta2 Re1 Cl1'
_space_group_name_H-M_alt 'P 1'
_space_group_IT_number 1
_space_group_name_Hall 'P 1'
_cell_length_a 5.805
_cell_length_b 5.805
_cell_length_c 4.304
_cell_angle_alpha 79.16
_cell_angle_beta 79.16
_cell_angle_gamma 31.39
loop_
_atom_site_label
_atom_site_type_symbol
_atom_site_fract_x
_atom_site_fract_y
_atom_site_fract_z
Cl1 Cl 0.533 0.533 0.578
Re1 Re 0.271 0.271 0.159
Ta1 Ta 0.958 0.958 0.075
Ta2 Ta 0.737 0.737 0.688
# - E above lowest polymorph: 0.4684 eV/atom
# - Calculated volume: 18.52 A^3/atom
# - Energy: -9.135 eV/atom